1.
Below is a geometry-optimized Bi2AsPPt structure, with properties calculated at the PBE-GGA level.

The calculation puts the density of states at the Fermi level at 2.76 states/eV per cell. The calculation puts the energy above the lowest structure with this stoichiometry at 338 meV/atom. As for the calculated formation energy: 0.93 eV/atom. The density is 8.787 g/cm3.

The space group is P4/mmm (No. 123) and the conventional cell measures 5.4959, 5.4959 and 4.4983 Å, with angles of 90.00, 90.00 and 90.00 degrees. The inequivalent atoms are Bi at (0.0000, 0.5000, 0.0000), As at (0.0000, 0.0000, 0.0000), P at (0.0000, 0.0000, 0.5000) and Pt at (0.5000, 0.5000, 0.5000).

---

2.
Below is a geometry-optimized Bi2AsPPt structure, with properties calculated at the PBE-GGA level.

The calculation puts the density of states at the Fermi level at 2.26 states/eV per cell. The calculation puts the energy above the lowest structure with this stoichiometry at 0 meV/atom. As for the calculated formation energy: 0.59 eV/atom. The density is 8.332 g/cm3.

The space group is P4/mmm (No. 123) and the conventional cell measures 5.6355, 5.6355 and 4.5114 Å, with angles of 90.00, 90.00 and 90.00 degrees. The inequivalent atoms are Bi at (0.0000, 0.5000, 0.0000), As at (0.0000, 0.0000, 0.5000), P at (0.5000, 0.5000, 0.5000) and Pt at (0.0000, 0.0000, 0.0000).

---

3.
Below is a geometry-optimized BiAs2PRh structure, with properties calculated at the PBE-GGA level.

The calculation puts the density of states at the Fermi level at 3.48 states/eV per cell. The calculation puts the energy above the lowest structure with this stoichiometry at 485 meV/atom. As for the calculated formation energy: 0.87 eV/atom. The density is 7.248 g/cm3.

The space group is P4/mmm (No. 123) and the conventional cell measures 4.6149, 4.6149 and 5.3002 Å, with angles of 90.00, 90.00 and 90.00 degrees. The inequivalent atoms are Bi at (0.0000, 0.0000, 0.0000), As at (0.0000, 0.5000, 0.5000), P at (0.0000, 0.0000, 0.5000) and Rh at (0.5000, 0.5000, 0.0000).

---

4.
Below is a geometry-optimized BiAs2PRh structure, with properties calculated at the PBE-GGA level.

The calculation puts the density of states at the Fermi level at 3.54 states/eV per cell. The calculation puts the energy above the lowest structure with this stoichiometry at 0 meV/atom. As for the calculated formation energy: 0.38 eV/atom. The density is 7.588 g/cm3.

The space group is P4/mmm (No. 123) and the conventional cell measures 4.9178, 4.9178 and 4.4582 Å, with angles of 90.00, 90.00 and 90.00 degrees. The inequivalent atoms are Bi at (0.0000, 0.0000, 0.0000), As at (0.0000, 0.5000, 0.5000), P at (0.5000, 0.5000, 0.5000) and Rh at (0.5000, 0.5000, 0.0000).

---

5.
Below is a geometry-optimized BiAsPS2 structure, with properties calculated at the PBE-GGA level.

The calculation puts the density of states at the Fermi level at 2.96 states/eV per cell. The calculation puts the energy above the lowest structure with this stoichiometry at 0 meV/atom. The density is 5.759 g/cm3. For the uncorrected formation energy, the calculation gives 43.42 kJ per mole of atoms.

The space group is P4/mmm (No. 123) and the conventional cell measures 4.7735, 4.7735 and 4.7961 Å, with angles of 90.00, 90.00 and 90.00 degrees. The inequivalent atoms are Bi at (0.0000, 0.0000, 0.0000), As at (0.5000, 0.5000, 0.5000), P at (0.5000, 0.5000, 0.0000) and S at (0.0000, 0.5000, 0.5000).

---

6.
Below is a geometry-optimized BiAsPS2 structure, with properties calculated at the PBE-GGA level.

The calculation puts the density of states at the Fermi level at 5.51 states/eV per cell. The calculation puts the energy above the lowest structure with this stoichiometry at 696 meV/atom. The density is 4.529 g/cm3. For the uncorrected formation energy, the calculation gives 110.53 kJ per mole of atoms.

The space group is P4/mmm (No. 123) and the conventional cell measures 5.0989, 5.0989 and 5.3444 Å, with angles of 90.00, 90.00 and 90.00 degrees. The inequivalent atoms are Bi at (0.0000, 0.0000, 0.0000), As at (0.5000, 0.5000, 0.5000), P at (0.0000, 0.0000, 0.5000) and S at (0.0000, 0.5000, 0.0000).

---

7.
Below is a geometry-optimized Sc6BiAs2P3 structure, with properties calculated at the PBE-GGA level.

The calculation puts the density of states at the Fermi level at 4.35 states/eV per cell. As for the calculated formation energy: -1.28 eV/atom. The density is 4.830 g/cm3.

The space group is C2/m (No. 12) and the conventional cell measures 16.9542, 3.8465 and 7.8300 Å, with angles of 90.00, 103.72 and 90.00 degrees. The inequivalent atoms are Sc at (0.0015, 0.0000, 0.2237), Sc at (0.1668, 0.5000, 0.0880), Sc at (0.1774, 0.5000, 0.5843), Bi at (0.0000, 0.5000, 0.5000), As at (0.1668, 0.0000, 0.8336), P at (0.0000, 0.5000, 0.0000) and P at (0.1649, 0.0000, 0.3317).

---

8.
Below is a geometry-optimized BiAs2PSe structure, with properties calculated at the PBE-GGA level.

The calculation puts the density of states at the Fermi level at 7.76 states/eV per cell. The calculation puts the energy above the lowest structure with this stoichiometry at 969 meV/atom. The density is 4.891 g/cm3. For the uncorrected formation energy, the calculation gives 136.79 kJ per mole of atoms.

The space group is P4/mmm (No. 123) and the conventional cell measures 5.4388, 5.4388 and 5.3803 Å, with angles of 90.00, 90.00 and 90.00 degrees. The inequivalent atoms are Bi at (0.0000, 0.0000, 0.0000), As at (0.0000, 0.5000, 0.0000), P at (0.5000, 0.5000, 0.5000) and Se at (0.0000, 0.0000, 0.5000).

---

9.
Below is a geometry-optimized BiAs2PSe structure, with properties calculated at the PBE-GGA level.

The calculation puts the density of states at the Fermi level at 4.00 states/eV per cell. The calculation puts the energy above the lowest structure with this stoichiometry at 0 meV/atom. The density is 6.780 g/cm3. For the uncorrected formation energy, the calculation gives 43.33 kJ per mole of atoms.

The space group is P4/mmm (No. 123) and the conventional cell measures 4.8167, 4.8167 and 4.9487 Å, with angles of 90.00, 90.00 and 90.00 degrees. The inequivalent atoms are Bi at (0.0000, 0.0000, 0.0000), As at (0.0000, 0.5000, 0.5000), P at (0.5000, 0.5000, 0.5000) and Se at (0.5000, 0.5000, 0.0000).

---

10.
Below is a geometry-optimized Sm6BiAs3P2 structure, with properties calculated at the PBE-GGA level.

The calculation puts the density of states at the Fermi level at 3.52 states/eV per cell. As for the calculated formation energy: -1.41 eV/atom. The density is 7.190 g/cm3.

The space group is C2/m (No. 12) and the conventional cell measures 18.4431, 4.2253 and 8.5038 Å, with angles of 90.00, 103.00 and 90.00 degrees. The inequivalent atoms are Sm at (0.0037, 0.0000, 0.2681), Sm at (0.1695, 0.5000, 0.5798), Sm at (0.1741, 0.5000, 0.0938), Bi at (0.0000, 0.5000, 0.0000), As at (0.0000, 0.5000, 0.5000), As at (0.1644, 0.0000, 0.8316) and P at (0.1683, 0.0000, 0.3361).

---

11.
Below is a geometry-optimized Sm4Bi2AsP structure, with properties calculated at the PBE-GGA level.

The calculation puts the density of states at the Fermi level at 1.71 states/eV per cell. As for the calculated formation energy: -1.21 eV/atom. The density is 8.003 g/cm3.

The space group is P2/m (No. 10) and the conventional cell measures 7.4785, 4.3120 and 7.6546 Å, with angles of 90.00, 108.93 and 90.00 degrees. The inequivalent atoms are Sm at (0.2370, 0.0000, 0.2222), Sm at (0.2550, 0.5000, 0.7754), Bi at (0.0000, 0.0000, 0.5000), Bi at (0.5000, 0.5000, 0.5000), As at (0.5000, 0.0000, 0.0000) and P at (0.0000, 0.5000, 0.0000).

---

12.
Below is a geometry-optimized Tb4Bi2AsP structure, with properties calculated at the PBE-GGA level.

The calculation puts the density of states at the Fermi level at 1.66 states/eV per cell. As for the calculated formation energy: -1.19 eV/atom. The density is 8.669 g/cm3.

The space group is P2/m (No. 10) and the conventional cell measures 7.3511, 4.2350 and 7.5397 Å, with angles of 90.00, 108.87 and 90.00 degrees. The inequivalent atoms are Tb at (0.2363, 0.0000, 0.2209), Tb at (0.2552, 0.5000, 0.7768), Bi at (0.0000, 0.0000, 0.5000), Bi at (0.5000, 0.5000, 0.5000), As at (0.5000, 0.0000, 0.0000) and P at (0.0000, 0.5000, 0.0000).

---

13.
Below is a geometry-optimized Tb6BiAs2P3 structure, with properties calculated at the PBE-GGA level.

The calculation puts the density of states at the Fermi level at 3.59 states/eV per cell. As for the calculated formation energy: -1.43 eV/atom. The density is 7.746 g/cm3.

The space group is C2/m (No. 12) and the conventional cell measures 18.0748, 4.1170 and 8.3287 Å, with angles of 90.00, 103.56 and 90.00 degrees. The inequivalent atoms are Tb at (0.0013, 0.0000, 0.2286), Tb at (0.1667, 0.5000, 0.0868), Tb at (0.1751, 0.5000, 0.5841), Bi at (0.0000, 0.5000, 0.5000), As at (0.1670, 0.0000, 0.8341), P at (0.0000, 0.5000, 0.0000) and P at (0.1657, 0.0000, 0.3316).